[1]
Entry from the Alexandria database: an optimized crystal structure of Dy3Cd2Hg3 (PBE).

The energy above the most stable polymorph in this dataset comes out at 0.055 eV/atom. As for the formation energy: -0.308 eV per atom. The value obtained for the calculated volume is 206.16 Å³ per cell.

The space group is P-62m (No. 189) and the conventional cell measures 7.9152, 7.9152 and 3.7997 Å, with angles of 90.00, 90.00 and 120.00 degrees. The inequivalent atoms are Dy at (0.0000, 0.6333, 0.0000), Cd at (0.3333, 0.6667, 0.5000) and Hg at (0.0000, 0.2528, 0.5000).

---

[2]
Entry from the Alexandria database: an optimized crystal structure of SnSbAu4 (PBE).

The energy above the most stable polymorph in this dataset comes out at 0.000 eV/atom. The value obtained for the calculated volume is 138.25 Å³ per cell.

The space group is P1 (No. 1) and the conventional cell measures 4.2219, 4.8813 and 7.7125 Å, with angles of 78.63, 74.63 and 65.01 degrees. The inequivalent atoms are Sn at (0.0000, 0.0000, 0.0000), Sb at (0.4108, 0.6469, 0.5020), Au at (0.1231, 0.4695, 0.2451), Au at (0.3786, 0.3717, 0.8726), Au at (0.7286, 0.7811, 0.7571) and Au at (0.7571, 0.0686, 0.3808).

---

Question: Among the records above, which one has the lowest calculated volume?
Answer: SnSbAu4

---

Question: Which value of calculated volume does entry 2 give?
Answer: 138.25 Å³ per cell

---

Copy entry 1 word for word.
Entry from the Alexandria database: an optimized crystal structure of Dy3Cd2Hg3 (PBE).

The energy above the most stable polymorph in this dataset comes out at 0.055 eV/atom. As for the formation energy: -0.308 eV per atom. The value obtained for the calculated volume is 206.16 Å³ per cell.

The space group is P-62m (No. 189) and the conventional cell measures 7.9152, 7.9152 and 3.7997 Å, with angles of 90.00, 90.00 and 120.00 degrees. The inequivalent atoms are Dy at (0.0000, 0.6333, 0.0000), Cd at (0.3333, 0.6667, 0.5000) and Hg at (0.0000, 0.2528, 0.5000).

---

Question: Which formula does entry 1 have?
Answer: Dy3Cd2Hg3